Compound: CoTe3Pt
Source: Alexandria via LeMat-Bulk
Functional: GGA-PBE
Structure: relaxed

a b c (Å): 4.9132 4.9132 4.9132
angles (deg): 90.00 90.00 90.00
Closest atoms and distances in Å follow each position.
Element x y z (fractional)
1 Co 0.0000 0.0000 0.0000  6 Te 2.46
2 Te 0.0000 0.0000 0.5000  2 Co 2.46
3 Te 0.0000 0.5000 0.0000  2 Co 2.46
4 Te 0.5000 0.0000 0.0000  2 Co 2.46
5 Pt 0.5000 0.5000 0.5000  12 Te 3.47

formation energy from raw total energies	0.68	eV/atom
total energy	-0.28211	Ry per atom
symmetry	No. 221